(1)
# GGA-PBE CrMoRu2, relaxed
data_CrMoRu2
_chemical_formula_sum 'Cr1 Mo1 Ru2'
_cell_length_a 2.7056
_cell_length_b 2.7056
_cell_length_c 7.6470
_cell_angle_alpha 90.00
_cell_angle_beta 90.00
_cell_angle_gamma 90.00
_symmetry_space_group_name_H-M 'P 4 m m'
_symmetry_Int_Tables_number 99
_symmetry_space_group_name_Hall 'P 4 -2'
loop_
_atom_site_label
_atom_site_fract_x
_atom_site_fract_y
_atom_site_fract_z
Cr1 0.0000 0.0000 0.0000
Mo1 0.5000 0.5000 0.2565
Ru1 0.0000 0.0000 0.5201
Ru2 0.5000 0.5000 0.7757
# - energy above the most stable polymorph in this dataset (eV per atom) = 0.090
# - uncorrected energy (eV/atom) = -9.579
# - calculated formation energy (eV per atom) = 0.1725


(2)
# GGA-PBE CrMo2Ru, relaxed
data_CrMo2Ru
_chemical_formula_sum 'Cr2 Mo4 Ru2'
_cell_length_a 3.8483
_cell_length_b 3.8483
_cell_length_c 7.8498
_cell_angle_alpha 90.00
_cell_angle_beta 90.00
_cell_angle_gamma 90.00
_symmetry_space_group_name_H-M 'I -4 m 2'
_symmetry_Int_Tables_number 119
_symmetry_space_group_name_Hall 'I -4 -2'
loop_
_atom_site_label
_atom_site_fract_x
_atom_site_fract_y
_atom_site_fract_z
Cr1 0.0000 0.0000 0.0000
Mo1 0.0000 0.0000 0.5000
Mo2 0.0000 0.5000 0.7500
Ru1 0.0000 0.5000 0.2500
# - energy above the most stable polymorph in this dataset (eV per atom) = 0.136
# - uncorrected energy (eV/atom) = -9.886
# - calculated formation energy (eV per atom) = 0.2545


(3)
# GGA-PBE CrMoRu2, relaxed
data_CrMoRu2
_chemical_formula_sum 'Cr1 Mo1 Ru2'
_cell_length_a 2.7332
_cell_length_b 3.7606
_cell_length_c 5.4578
_cell_angle_alpha 90.00
_cell_angle_beta 90.00
_cell_angle_gamma 90.00
_symmetry_space_group_name_H-M 'P m m 2'
_symmetry_Int_Tables_number 25
_symmetry_space_group_name_Hall 'P 2 -2'
loop_
_atom_site_label
_atom_site_fract_x
_atom_site_fract_y
_atom_site_fract_z
Cr1 0.0000 0.0000 0.0000
Mo1 0.5000 0.5000 0.2687
Ru1 0.0000 0.0000 0.5168
Ru2 0.5000 0.5000 0.7894
# - energy above the most stable polymorph in this dataset (eV per atom) = 0.066
# - uncorrected energy (eV/atom) = -9.603
# - calculated formation energy (eV per atom) = 0.1487


(4)
# GGA-PBE CrMoRu2, relaxed
data_CrMoRu2
_chemical_formula_sum 'Cr4 Mo4 Ru8'
_cell_length_a 6.0973
_cell_length_b 6.0973
_cell_length_c 6.0973
_cell_angle_alpha 90.00
_cell_angle_beta 90.00
_cell_angle_gamma 90.00
_symmetry_space_group_name_H-M 'F -4 3 m'
_symmetry_Int_Tables_number 216
_symmetry_space_group_name_Hall 'F -4 2 3'
loop_
_atom_site_label
_atom_site_fract_x
_atom_site_fract_y
_atom_site_fract_z
Cr1 0.0000 0.0000 0.0000
Mo1 0.2500 0.2500 0.2500
Ru1 0.0000 0.0000 0.5000
Ru2 0.2500 0.2500 0.7500
# - energy above the most stable polymorph in this dataset (eV per atom) = 0.241
# - uncorrected energy (eV/atom) = -9.429
# - calculated formation energy (eV per atom) = 0.3229


(5)
# GGA-PBE CrMoRu2, relaxed
data_CrMoRu2
_chemical_formula_sum 'Cr2 Mo2 Ru4'
_cell_length_a 8.9017
_cell_length_b 2.7148
_cell_length_c 4.7033
_cell_angle_alpha 90.00
_cell_angle_beta 100.17
_cell_angle_gamma 90.00
_symmetry_space_group_name_H-M 'C 1 2/m 1'
_symmetry_Int_Tables_number 12
_symmetry_space_group_name_Hall '-C 2y'
loop_
_atom_site_label
_atom_site_fract_x
_atom_site_fract_y
_atom_site_fract_z
Cr1 0.0000 0.0000 0.0000
Mo1 0.0000 0.5000 0.5000
Ru1 0.2426 0.5000 0.2330
# - energy above the most stable polymorph in this dataset (eV per atom) = 0.048
# - uncorrected energy (eV/atom) = -9.621
# - calculated formation energy (eV per atom) = 0.1307


(6)
# GGA-PBE CrMoRu, relaxed
data_CrMoRu
_chemical_formula_sum 'Cr4 Mo4 Ru4'
_cell_length_a 5.7402
_cell_length_b 5.7402
_cell_length_c 5.7402
_cell_angle_alpha 90.00
_cell_angle_beta 90.00
_cell_angle_gamma 90.00
_symmetry_space_group_name_H-M 'F -4 3 m'
_symmetry_Int_Tables_number 216
_symmetry_space_group_name_Hall 'F -4 2 3'
loop_
_atom_site_label
_atom_site_fract_x
_atom_site_fract_y
_atom_site_fract_z
Cr1 0.0000 0.0000 0.0000
Mo1 0.2500 0.2500 0.2500
Ru1 0.2500 0.2500 0.7500
# - energy above the most stable polymorph in this dataset (eV per atom) = 0.475
# - uncorrected energy (eV/atom) = -9.291
# - calculated formation energy (eV per atom) = 0.6188


(7)
# GGA-PBE CrMo2Ru, relaxed
data_CrMo2Ru
_chemical_formula_sum 'Cr2 Mo4 Ru2'
_cell_length_a 3.0509
_cell_length_b 4.3922
_cell_length_c 8.6380
_cell_angle_alpha 90.00
_cell_angle_beta 90.00
_cell_angle_gamma 90.00
_symmetry_space_group_name_H-M 'I m m 2'
_symmetry_Int_Tables_number 44
_symmetry_space_group_name_Hall 'I 2 -2'
loop_
_atom_site_label
_atom_site_fract_x
_atom_site_fract_y
_atom_site_fract_z
Cr1 0.0000 0.0000 0.0000
Mo1 0.0000 0.0000 0.4792
Mo2 0.0000 0.5000 0.7266
Ru1 0.0000 0.5000 0.2438
# - energy above the most stable polymorph in this dataset (eV per atom) = 0.018
# - uncorrected energy (eV/atom) = -10.003
# - calculated formation energy (eV per atom) = 0.1369


(8)
# GGA-PBE CrMoRu, relaxed
data_CrMoRu
_chemical_formula_sum 'Cr2 Mo2 Ru2'
_cell_length_a 2.6954
_cell_length_b 2.6954
_cell_length_c 11.5598
_cell_angle_alpha 90.00
_cell_angle_beta 90.00
_cell_angle_gamma 90.00
_symmetry_space_group_name_H-M 'I 4 m m'
_symmetry_Int_Tables_number 107
_symmetry_space_group_name_Hall 'I 4 -2'
loop_
_atom_site_label
_atom_site_fract_x
_atom_site_fract_y
_atom_site_fract_z
Cr1 0.0000 0.0000 0.0000
Mo1 0.0000 0.0000 0.3251
Ru1 0.0000 0.0000 0.6442
# - energy above the most stable polymorph in this dataset (eV per atom) = 0.000
# - uncorrected energy (eV/atom) = -9.766
# - calculated formation energy (eV per atom) = 0.1441


(9)
# GGA-PBE CrMo2Ru, relaxed
data_CrMo2Ru
_chemical_formula_sum 'Cr3 Mo6 Ru3'
_cell_length_a 2.7185
_cell_length_b 2.7185
_cell_length_c 27.4663
_cell_angle_alpha 90.00
_cell_angle_beta 90.00
_cell_angle_gamma 120.00
_symmetry_space_group_name_H-M 'R 3 m'
_symmetry_Int_Tables_number 160
_symmetry_space_group_name_Hall 'R 3 -2"'
loop_
_atom_site_label
_atom_site_fract_x
_atom_site_fract_y
_atom_site_fract_z
Cr1 0.0000 0.0000 0.0000
Mo1 0.0000 0.0000 0.2501
Mo2 0.0000 0.0000 0.4925
Ru1 0.0000 0.0000 0.7401
# - energy above the most stable polymorph in this dataset (eV per atom) = 0.182
# - uncorrected energy (eV/atom) = -9.839
# - calculated formation energy (eV per atom) = 0.3009


(10)
# GGA-PBE CrMo2Ru, relaxed
data_CrMo2Ru
_chemical_formula_sum 'Cr2 Mo4 Ru2'
_cell_length_a 3.0731
_cell_length_b 4.4240
_cell_length_c 8.5207
_cell_angle_alpha 90.00
_cell_angle_beta 90.00
_cell_angle_gamma 90.00
_symmetry_space_group_name_H-M 'C m m m'
_symmetry_Int_Tables_number 65
_symmetry_space_group_name_Hall '-C 2 2'
loop_
_atom_site_label
_atom_site_fract_x
_atom_site_fract_y
_atom_site_fract_z
Cr1 0.0000 0.0000 0.0000
Mo1 0.0000 0.5000 0.2409
Ru1 0.0000 0.0000 0.5000
# - energy above the most stable polymorph in this dataset (eV per atom) = 0.047
# - uncorrected energy (eV/atom) = -9.974
# - calculated formation energy (eV per atom) = 0.1661


(11)
# GGA-PBE CrMo2Ru, relaxed
data_CrMo2Ru
_chemical_formula_sum 'Cr1 Mo2 Ru1'
_cell_length_a 3.0955
_cell_length_b 4.3352
_cell_length_c 4.3673
_cell_angle_alpha 90.00
_cell_angle_beta 90.00
_cell_angle_gamma 90.00
_symmetry_space_group_name_H-M 'P m m m'
_symmetry_Int_Tables_number 47
_symmetry_space_group_name_Hall '-P 2 2'
loop_
_atom_site_label
_atom_site_fract_x
_atom_site_fract_y
_atom_site_fract_z
Cr1 0.0000 0.0000 0.0000
Mo1 0.0000 0.5000 0.5000
Mo2 0.5000 0.5000 0.0000
Ru1 0.5000 0.0000 0.5000
# - energy above the most stable polymorph in this dataset (eV per atom) = 0.016
# - uncorrected energy (eV/atom) = -10.005
# - calculated formation energy (eV per atom) = 0.1353


(12)
# GGA-PBE CrMo2Ru, relaxed
data_CrMo2Ru
_chemical_formula_sum 'Cr1 Mo2 Ru1'
_cell_length_a 3.0076
_cell_length_b 3.0076
_cell_length_c 6.3709
_cell_angle_alpha 90.00
_cell_angle_beta 90.00
_cell_angle_gamma 90.00
_symmetry_space_group_name_H-M 'P 4/m m m'
_symmetry_Int_Tables_number 123
_symmetry_space_group_name_Hall '-P 4 2'
loop_
_atom_site_label
_atom_site_fract_x
_atom_site_fract_y
_atom_site_fract_z
Cr1 0.0000 0.0000 0.0000
Mo1 0.5000 0.5000 0.2324
Ru1 0.0000 0.0000 0.5000
# - energy above the most stable polymorph in this dataset (eV per atom) = 0.003
# - uncorrected energy (eV/atom) = -10.018
# - calculated formation energy (eV per atom) = 0.1219


(13)
# GGA-PBE CrMoRu6, relaxed
data_CrMoRu6
_chemical_formula_sum 'Cr2 Mo2 Ru12'
_cell_length_a 4.3850
_cell_length_b 7.3886
_cell_length_c 7.6434
_cell_angle_alpha 90.00
_cell_angle_beta 90.00
_cell_angle_gamma 90.00
_symmetry_space_group_name_H-M 'C m m m'
_symmetry_Int_Tables_number 65
_symmetry_space_group_name_Hall '-C 2 2'
loop_
_atom_site_label
_atom_site_fract_x
_atom_site_fract_y
_atom_site_fract_z
Cr1 0.0000 0.0000 0.0000
Mo1 0.0000 0.5000 0.5000
Ru1 0.0000 0.1702 0.3247
Ru2 0.0000 0.5000 0.1636
# - uncorrected energy (eV/atom) = -9.113
# - calculated formation energy (eV per atom) = 0.4009


(14)
# GGA-PBE CrMo2Ru, relaxed
data_CrMo2Ru
_chemical_formula_sum 'Cr2 Mo4 Ru2'
_cell_length_a 5.3161
_cell_length_b 8.5731
_cell_length_c 2.6969
_cell_angle_alpha 90.00
_cell_angle_beta 109.17
_cell_angle_gamma 90.00
_symmetry_space_group_name_H-M 'C 1 2/m 1'
_symmetry_Int_Tables_number 12
_symmetry_space_group_name_Hall '-C 2y'
loop_
_atom_site_label
_atom_site_fract_x
_atom_site_fract_y
_atom_site_fract_z
Cr1 0.0000 0.0000 0.0000
Mo1 0.2500 0.2500 0.5000
Ru1 0.0000 0.5000 0.0000
# - energy above the most stable polymorph in this dataset (eV per atom) = 0.050
# - uncorrected energy (eV/atom) = -9.972
# - calculated formation energy (eV per atom) = 0.1685


(15)
# GGA-PBE CrMoRu2, relaxed
data_CrMoRu2
_chemical_formula_sum 'Cr1 Mo1 Ru2'
_cell_length_a 2.6945
_cell_length_b 4.1596
_cell_length_c 5.1712
_cell_angle_alpha 90.00
_cell_angle_beta 104.09
_cell_angle_gamma 90.00
_symmetry_space_group_name_H-M 'P 1 2/m 1'
_symmetry_Int_Tables_number 10
_symmetry_space_group_name_Hall '-P 2y'
loop_
_atom_site_label
_atom_site_fract_x
_atom_site_fract_y
_atom_site_fract_z
Cr1 0.0000 0.0000 0.0000
Mo1 0.0000 0.0000 0.5000
Ru1 0.3765 0.5000 0.2349
# - energy above the most stable polymorph in this dataset (eV per atom) = 0.072
# - uncorrected energy (eV/atom) = -9.597
# - calculated formation energy (eV per atom) = 0.1543


(16)
# GGA-PBE CrMo2Ru, relaxed
data_CrMo2Ru
_chemical_formula_sum 'Cr4 Mo8 Ru4'
_cell_length_a 6.1433
_cell_length_b 6.1433
_cell_length_c 6.1433
_cell_angle_alpha 90.00
_cell_angle_beta 90.00
_cell_angle_gamma 90.00
_symmetry_space_group_name_H-M 'F m -3 m'
_symmetry_Int_Tables_number 225
_symmetry_space_group_name_Hall '-F 4 2 3'
loop_
_atom_site_label
_atom_site_fract_x
_atom_site_fract_y
_atom_site_fract_z
Cr1 0.0000 0.0000 0.0000
Mo1 0.2500 0.2500 0.2500
Ru1 0.0000 0.0000 0.5000
# - energy above the most stable polymorph in this dataset (eV per atom) = 0.080
# - uncorrected energy (eV/atom) = -9.942
# - calculated formation energy (eV per atom) = 0.1988


(17)
# GGA-PBE CrMoRu, relaxed
data_CrMoRu
_chemical_formula_sum 'Cr2 Mo2 Ru2'
_cell_length_a 2.7266
_cell_length_b 3.7389
_cell_length_c 8.2529
_cell_angle_alpha 90.00
_cell_angle_beta 90.00
_cell_angle_gamma 90.00
_symmetry_space_group_name_H-M 'I m m 2'
_symmetry_Int_Tables_number 44
_symmetry_space_group_name_Hall 'I 2 -2'
loop_
_atom_site_label
_atom_site_fract_x
_atom_site_fract_y
_atom_site_fract_z
Cr1 0.0000 0.0000 0.0000
Mo1 0.0000 0.0000 0.6723
Ru1 0.0000 0.0000 0.3487
# - energy above the most stable polymorph in this dataset (eV per atom) = 0.058
# - uncorrected energy (eV/atom) = -9.708
# - calculated formation energy (eV per atom) = 0.2021


(18)
# GGA-PBE CrMoRu2, relaxed
data_CrMoRu2
_chemical_formula_sum 'Cr2 Mo2 Ru4'
_cell_length_a 2.9895
_cell_length_b 4.3485
_cell_length_c 8.6578
_cell_angle_alpha 90.00
_cell_angle_beta 90.00
_cell_angle_gamma 90.00
_symmetry_space_group_name_H-M 'I m m 2'
_symmetry_Int_Tables_number 44
_symmetry_space_group_name_Hall 'I 2 -2'
loop_
_atom_site_label
_atom_site_fract_x
_atom_site_fract_y
_atom_site_fract_z
Cr1 0.0000 0.0000 0.0000
Mo1 0.0000 0.5000 0.7221
Ru1 0.0000 0.0000 0.4820
Ru2 0.0000 0.5000 0.2626
# - energy above the most stable polymorph in this dataset (eV per atom) = 0.115
# - uncorrected energy (eV/atom) = -9.555
# - calculated formation energy (eV per atom) = 0.1970


(19)
# GGA-PBE CrMo2Ru, relaxed
data_CrMo2Ru
_chemical_formula_sum 'Cr2 Mo4 Ru2'
_cell_length_a 9.1725
_cell_length_b 2.7577
_cell_length_c 4.6872
_cell_angle_alpha 90.00
_cell_angle_beta 100.56
_cell_angle_gamma 90.00
_symmetry_space_group_name_H-M 'C 1 m 1'
_symmetry_Int_Tables_number 8
_symmetry_space_group_name_Hall 'C -2y'
loop_
_atom_site_label
_atom_site_fract_x
_atom_site_fract_y
_atom_site_fract_z
Cr1 0.0000 0.0000 0.0000
Mo1 0.0247 0.5000 0.5156
Mo2 0.2521 0.5000 0.2032
Ru1 0.2765 0.0000 0.7187
# - energy above the most stable polymorph in this dataset (eV per atom) = 0.102
# - uncorrected energy (eV/atom) = -9.920
# - calculated formation energy (eV per atom) = 0.2207


(20)
# GGA-PBE CrMoRu, relaxed
data_CrMoRu
_chemical_formula_sum 'Cr4 Mo4 Ru4'
_cell_length_a 3.0654
_cell_length_b 4.3766
_cell_length_c 12.5517
_cell_angle_alpha 90.00
_cell_angle_beta 90.00
_cell_angle_gamma 90.00
_symmetry_space_group_name_H-M 'F m m 2'
_symmetry_Int_Tables_number 42
_symmetry_space_group_name_Hall 'F 2 -2'
loop_
_atom_site_label
_atom_site_fract_x
_atom_site_fract_y
_atom_site_fract_z
Cr1 0.0000 0.0000 0.0000
Mo1 0.0000 0.0000 0.3368
Ru1 0.0000 0.0000 0.6589
# - energy above the most stable polymorph in this dataset (eV per atom) = 0.080
# - uncorrected energy (eV/atom) = -9.686
# - calculated formation energy (eV per atom) = 0.2242